The following is a DFT calculation (PBE) of an optimized crystal structure of LaY3Se4.

The calculation puts the energy above the most stable polymorph in this dataset at 24.8 meV/atom.

The space group is Pm-3m (No. 221) and the conventional cell measures 5.8725, 5.8725 and 5.8725 Å, with angles of 90.00, 90.00 and 90.00 degrees. The asymmetric unit holds La at (0.0000, 0.0000, 0.0000), Y at (0.0000, 0.5000, 0.5000), Se at (0.0000, 0.0000, 0.5000) and Se at (0.5000, 0.5000, 0.5000).

***

The following is a DFT calculation (PBE) of an optimized crystal structure of Cs2HfCdTe4.

The space group is Fddd (No. 70, origin choice 2) and the conventional cell measures 6.7224, 15.7927 and 27.7272 Å, with angles of 90.00, 90.00 and 90.00 degrees. The asymmetric unit holds Cs at (0.1250, 0.1250, 0.3060), Hf at (0.1250, 0.1250, 0.1250), Cd at (0.1250, 0.1250, 0.6250) and Te at (0.1092, 0.2732, 0.4318).

***

Number 1: total energy -6.57 eV/atom, raw formation energy -1.79 eV per atom. Number 2: total energy -4.04 eV/atom, raw formation energy -0.90 eV per atom.